No. 1
A plane-wave DFT calculation with PBE-GGA was carried out for a geometry-optimized Sr2W structure.

abc: 9.453 9.453 9.453
angles: 60.00 60.00 60.00
Fractional coordinates of all 6 atoms:
1 Sr 0.000 0.000 0.000
2 Sr 0.000 0.000 0.500
3 Sr 0.000 0.500 0.000
4 Sr 0.500 0.000 0.000
5 W 0.125 0.125 0.125
6 W 0.875 0.875 0.875

Values from the calculation:
Energy above the lowest structure with this stoichiometry (meV per atom): 980
Magnetization (μB/f.u.): 4.18
E (eV/atom): -2.936
Space-group type: Fd-3m, No. 227



No. 2
A plane-wave DFT calculation with PBE-GGA was carried out for a geometry-optimized BaTmTa structure.

abc: 5.329 5.329 5.329
angles: 60.00 60.00 60.00
Fractional coordinates of all 3 atoms:
1 Ba 0.000 0.000 0.000
2 Tm 0.250 0.250 0.250
3 Ta 0.500 0.500 0.500

Values from the calculation:
Energy above the lowest structure with this stoichiometry (meV per atom): 0
Magnetization (μB/f.u.): 3.70
E (eV/atom): -4.542
Space-group type: F-43m, No. 216



No. 3
A plane-wave DFT calculation with PBE-GGA was carried out for a geometry-optimized KNaPdW structure.

abc: 5.006 5.006 5.006
angles: 60.00 60.00 60.00
Fractional coordinates of all 4 atoms:
1 K 0.000 0.000 0.000
2 Na 0.250 0.250 0.250
3 Pd 0.500 0.500 0.500
4 W 0.750 0.750 0.750

Values from the calculation:
Energy above the lowest structure with this stoichiometry (meV per atom): 29
Magnetization (μB/f.u.): 3.73
E (eV/atom): -3.816
Space-group type: F-43m, No. 216



No. 4
A plane-wave DFT calculation with PBE-GGA was carried out for a geometry-optimized SmNiBi structure.

abc: 4.566 4.566 7.516
angles: 90.00 90.00 120.00
Fractional coordinates of all 6 atoms:
1 Sm 0.000 0.000 0.000
2 Sm 0.000 0.000 0.500
3 Ni 0.333 0.667 0.348
4 Ni 0.667 0.333 0.848
5 Bi 0.333 0.667 0.739
6 Bi 0.667 0.333 0.239

Values from the calculation:
Magnetization (μB/f.u.): 0.00
E (eV/atom): -5.383
Space-group type: P6_3mc, No. 186



No. 5
A plane-wave DFT calculation with PBE-GGA was carried out for a geometry-optimized Tm3Br2 structure.

abc: 7.484 7.484 7.484
angles: 55.62 55.62 55.62
Fractional coordinates of all 10 atoms:
1 Tm 0.100 0.750 0.400
2 Tm 0.250 0.600 0.900
3 Tm 0.400 0.100 0.750
4 Tm 0.600 0.900 0.250
5 Tm 0.750 0.400 0.100
6 Tm 0.900 0.250 0.600
7 Br 0.167 0.167 0.167
8 Br 0.333 0.333 0.333
9 Br 0.667 0.667 0.667
10 Br 0.833 0.833 0.833

Values from the calculation:
Magnetization (μB/f.u.): 0.01
E (eV/atom): -3.845
Space-group type: R-3c, No. 167



No. 6
A plane-wave DFT calculation with PBE-GGA was carried out for a geometry-optimized AcZnGa structure.

abc: 5.133 5.133 5.133
angles: 60.00 60.00 60.00
Fractional coordinates of all 3 atoms:
1 Ac 0.000 0.000 0.000
2 Zn 0.250 0.250 0.250
3 Ga 0.750 0.750 0.750

Values from the calculation:
Energy above the lowest structure with this stoichiometry (meV per atom): 436
Magnetization (μB/f.u.): 0.00
E (eV/atom): -2.677
Space-group type: F-43m, No. 216